Compound: SmInCoO3
Source: OQMD via LeMat-Bulk
Functional: PBE+U
Structure: optimized geometry

Calculated values
The crystal system is orthorhombic. The total DFT energy (no corrections) comes out at -6.286 eV/atom.

Cell and atoms, written as CIF:
```
data_SmInCoO3
_chemical_formula_sum 'Sm4 In4 Co4 O12'
_symmetry_space_group_name_H-M 'C m c m'
_symmetry_Int_Tables_number 63
_symmetry_space_group_name_Hall '-C 2c 2'
_cell_length_a 3.2358
_cell_length_b 17.3757
_cell_length_c 6.5979
_cell_angle_alpha 90.00
_cell_angle_beta 90.00
_cell_angle_gamma 90.00
loop_
_atom_site_label
_atom_site_type_symbol
_atom_site_fract_x
_atom_site_fract_y
_atom_site_fract_z
Sm1 Sm 0.0000 0.0000 0.0000
In1 In 0.0000 0.2011 0.2500
Co1 Co 0.0000 0.3591 0.2500
O1 O 0.0000 0.1322 0.5392
O2 O 0.0000 0.4982 0.7500
```